Record 1
VASP calculation (PBE) on a relaxed structure of ZrAs2Rh.

Space-group type: No. 6
Calculated density, g cm⁻³: 7.924
Volume, Å³ per atom: 18.022
Total magnetization, μB per cell: 0.00
E_form, eV/atom: -0.55

abc: 2.9820 4.6341 5.4231
angles: 90.00 105.87 90.00
With the nearest neighbours (Å) after each atom.
Fractional coordinates of all 4 atoms:
1 Zr 0.0000 0.0000 0.0000  7 As 2.81-2.88, 2 Zr 2.98
2 As 0.2707 0.0000 0.5386  2 Rh 2.45
3 As 0.5809 0.5000 0.1614  1 Rh 2.46
4 Rh 0.3453 0.5000 0.6899  3 As 2.45-2.46

=====

Record 2
VASP calculation (PBE) on a relaxed structure of Ce3PmPu.

Space-group type: No. 28
Calculated density, g cm⁻³: 9.224
Volume, Å³ per atom: 29.141
Total magnetization, μB per cell: 8.68
E_form, eV/atom: 0.10

abc: 7.0195 7.0189 5.9146
angles: 90.00 90.00 90.00
With the nearest neighbours (Å) after each atom.
Fractional coordinates of all 10 atoms:
1 Ce 0.0000 0.0000 0.0000  2 Pu 2.60
2 Ce 0.0000 0.5000 0.0002  2 Pu 2.60
3 Ce 0.2500 0.2496 0.4452  1 Pu 2.52
4 Ce 0.5000 0.0000 0.0000  2 Pu 2.60
5 Ce 0.5000 0.5000 0.0002  2 Pu 2.60
6 Ce 0.7500 0.7504 0.4452  1 Pu 2.52
7 Pm 0.2500 0.7496 0.5634  8 Ce 3.58, 4 Pu 3.95-3.96
8 Pm 0.7500 0.2504 0.5634  8 Ce 3.58, 4 Pu 3.95-3.96
9 Pu 0.2500 0.2500 0.8712  5 Ce 2.52-2.60
10 Pu 0.7500 0.7500 0.8712  5 Ce 2.52-2.60

=====

Record 3
VASP calculation (PBE) on a relaxed structure of Tb2Dy6Tm3.

Space-group type: No. 166
Calculated density, g cm⁻³: 8.798
Volume, Å³ per atom: 30.877
Total magnetization, μB per cell: 0.00
E_form, eV/atom: 0.02

abc: 31.6267 31.6267 31.6267
angles: 6.39 6.39 6.39
With the nearest neighbours (Å) after each atom.
Fractional coordinates of all 11 atoms:
1 Tb 0.0458 0.0458 0.0458  6 Tb 3.53, 6 Dy 3.54
2 Tb 0.9542 0.9542 0.9542  6 Tb 3.53, 6 Dy 3.54
3 Dy 0.1366 0.1366 0.1366  6 Tm 3.50, 6 Dy 3.53
4 Dy 0.3181 0.3181 0.3181  9 Dy 3.53, 3 Tb 3.54
5 Dy 0.4098 0.4098 0.4098  3 Tm 3.50, 6 Dy 3.53, 3 Tb 3.54
6 Dy 0.5902 0.5902 0.5902  3 Tm 3.50, 6 Dy 3.53, 3 Tb 3.54
7 Dy 0.6819 0.6819 0.6819  9 Dy 3.53, 3 Tb 3.54
8 Dy 0.8634 0.8634 0.8634  6 Tm 3.50, 6 Dy 3.53
9 Tm 0.2268 0.2268 0.2268  6 Dy 3.50, 6 Tm 3.53
10 Tm 0.5000 0.5000 0.5000  6 Dy 3.50, 6 Tm 3.53
11 Tm 0.7732 0.7732 0.7732  6 Dy 3.50, 6 Tm 3.53

=====

Record 4
VASP calculation (PBE) on a relaxed structure of TbPm4Dy4.

Space-group type: No. 139
Calculated density, g cm⁻³: 7.820
Volume, Å³ per atom: 32.769
Total magnetization, μB per cell: 0.00
E_form, eV/atom: 0.02

abc: 8.0350 8.0350 8.0350
angles: 95.72 95.72 143.19
With the nearest neighbours (Å) after each atom.
Fractional coordinates of all 9 atoms:
1 Tb 0.0000 0.0000 0.0000  4 Pm 3.57, 8 Dy 3.58
2 Pm 0.0000 0.3313 0.3313  1 Tb 3.57, 6 Dy 3.58-3.60, 5 Pm 3.61-3.64
3 Pm 0.0000 0.6687 0.6687  1 Tb 3.57, 6 Dy 3.58-3.60, 5 Pm 3.61-3.64
4 Pm 0.3313 0.0000 0.3313  1 Tb 3.57, 6 Dy 3.58-3.60, 5 Pm 3.61-3.64
5 Pm 0.6687 0.0000 0.6687  1 Tb 3.57, 6 Dy 3.58-3.60, 5 Pm 3.61-3.64
6 Dy 0.3339 0.3339 0.6679  6 Pm 3.58-3.60, 4 Dy 3.58-3.60, 2 Tb 3.58
7 Dy 0.3339 0.6661 0.0000  6 Pm 3.58-3.60, 4 Dy 3.58-3.60, 2 Tb 3.58
8 Dy 0.6661 0.3339 0.0000  6 Pm 3.58-3.60, 4 Dy 3.58-3.60, 2 Tb 3.58
9 Dy 0.6661 0.6661 0.3321  6 Pm 3.58-3.60, 4 Dy 3.58-3.60, 2 Tb 3.58

=====

Record 5
VASP calculation (PBE) on a relaxed structure of K2LaMo.

Space-group type: No. 44
Calculated density, g cm⁻³: 3.317
Volume, Å³ per atom: 39.175
Total magnetization, μB per cell: 0.42
E_form, eV/atom: 0.94

abc: 7.7688 7.7688 7.7688
angles: 154.64 128.27 58.46
With the nearest neighbours (Å) after each atom.
Fractional coordinates of all 4 atoms:
1 K 0.0000 0.0000 0.0000  2 K 3.41
2 K 0.6892 0.1892 0.5000  2 K 3.41, 2 Mo 3.59
3 La 0.3186 0.8186 0.5000  2 Mo 2.53
4 Mo 0.4565 0.4565 0.0000  2 La 2.53

=====

> calculated density of number 1 (ZrAs2Rh)?

7.924 g cm⁻³